# TbRh2Au, relaxed, DFT PBE-GGA
data_TbRh2Au
_chemical_formula_sum 'Tb1 Rh2 Au1'
_cell_length_a 4.212
_cell_length_b 4.212
_cell_length_c 3.962
_cell_angle_alpha 90.00
_cell_angle_beta 90.00
_cell_angle_gamma 90.00
_symmetry_space_group_name_H-M 'P 4/m m m'
_symmetry_Int_Tables_number 123
_symmetry_space_group_name_Hall '-P 4 2'
loop_
_atom_site_label
_atom_site_type_symbol
_atom_site_fract_x
_atom_site_fract_y
_atom_site_fract_z
Tb1 Tb 0.000 0.000 0.000
Rh1 Rh 0.000 0.500 0.500
Au1 Au 0.500 0.500 0.000
# energy of formation from the pure elements = -0.58 eV/atom
# volume = 17.6 Å³ per atom
# ρ = 13.27 g/cm3

***

# Tb2RhAu2, relaxed, DFT PBE-GGA
data_Tb2RhAu2
_chemical_formula_sum 'Tb8 Rh4 Au8'
_cell_length_a 6.258
_cell_length_b 12.669
_cell_length_c 6.037
_cell_angle_alpha 90.00
_cell_angle_beta 90.00
_cell_angle_gamma 90.00
_symmetry_space_group_name_H-M 'I b a m'
_symmetry_Int_Tables_number 72
_symmetry_space_group_name_Hall '-I 2 2c'
loop_
_atom_site_label
_atom_site_type_symbol
_atom_site_fract_x
_atom_site_fract_y
_atom_site_fract_z
Tb1 Tb 0.243 0.144 0.000
Rh1 Rh 0.000 0.500 0.250
Au1 Au 0.228 0.124 0.500
# energy of formation from the pure elements = -0.74 eV/atom
# volume = 23.9 Å³ per atom
# ρ = 11.31 g/cm3

***

# Tb12Rh5Au3, relaxed, DFT PBE-GGA
data_Tb12Rh5Au3
_chemical_formula_sum 'Tb96 Rh40 Au24'
_cell_length_a 16.683
_cell_length_b 16.683
_cell_length_c 16.683
_cell_angle_alpha 90.00
_cell_angle_beta 90.00
_cell_angle_gamma 90.00
_symmetry_space_group_name_H-M 'I a -3 d'
_symmetry_Int_Tables_number 230
_symmetry_space_group_name_Hall '-I 4bd 2c 3'
loop_
_atom_site_label
_atom_site_type_symbol
_atom_site_fract_x
_atom_site_fract_y
_atom_site_fract_z
Tb1 Tb 0.025 0.064 0.649
Rh1 Rh 0.000 0.000 0.000
Rh2 Rh 0.000 0.250 0.375
Au1 Au 0.000 0.250 0.125
# energy of formation from the pure elements = -0.38 eV/atom
# volume = 29.0 Å³ per atom
# ρ = 8.62 g/cm3

***

# Tb4Rh3Au, relaxed, DFT PBE-GGA
data_Tb4Rh3Au
_chemical_formula_sum 'Tb4 Rh3 Au1'
_cell_length_a 4.894
_cell_length_b 4.894
_cell_length_c 7.072
_cell_angle_alpha 90.00
_cell_angle_beta 90.00
_cell_angle_gamma 90.00
_symmetry_space_group_name_H-M 'P 4/m m m'
_symmetry_Int_Tables_number 123
_symmetry_space_group_name_Hall '-P 4 2'
loop_
_atom_site_label
_atom_site_type_symbol
_atom_site_fract_x
_atom_site_fract_y
_atom_site_fract_z
Tb1 Tb 0.000 0.500 0.242
Rh1 Rh 0.000 0.000 0.000
Rh2 Rh 0.000 0.000 0.500
Rh3 Rh 0.500 0.500 0.000
Au1 Au 0.500 0.500 0.500
# energy of formation from the pure elements = -0.83 eV/atom
# volume = 21.2 Å³ per atom
# ρ = 11.19 g/cm3

***

# Tb6Rh5Au, relaxed, DFT PBE-GGA
data_Tb6Rh5Au
_chemical_formula_sum 'Tb12 Rh10 Au2'
_cell_length_a 7.109
_cell_length_b 10.980
_cell_length_c 7.204
_cell_angle_alpha 90.00
_cell_angle_beta 104.09
_cell_angle_gamma 90.00
_symmetry_space_group_name_H-M 'C 1 2/m 1'
_symmetry_Int_Tables_number 12
_symmetry_space_group_name_Hall '-C 2y'
loop_
_atom_site_label
_atom_site_type_symbol
_atom_site_fract_x
_atom_site_fract_y
_atom_site_fract_z
Tb1 Tb 0.204 0.000 0.210
Tb2 Tb 0.224 0.177 0.717
Rh1 Rh 0.000 0.000 0.500
Rh2 Rh 0.000 0.205 0.000
Rh3 Rh 0.000 0.373 0.500
Au1 Au 0.000 0.500 0.000
# energy of formation from the pure elements = -0.66 eV/atom
# volume = 22.7 Å³ per atom
# ΔE to the lowest computed polymorph = 0.175 eV per atom
# ρ = 10.14 g/cm3

***

# TbRhAu, relaxed, DFT PBE-GGA
data_TbRhAu
_chemical_formula_sum 'Tb1 Rh1 Au1'
_cell_length_a 4.5822
_cell_length_b 4.5822
_cell_length_c 3.4379
_cell_angle_alpha 90.00
_cell_angle_beta 90.00
_cell_angle_gamma 120.00
_symmetry_space_group_name_H-M 'P -6 m 2'
_symmetry_Int_Tables_number 187
_symmetry_space_group_name_Hall 'P -6 2'
loop_
_atom_site_label
_atom_site_type_symbol
_atom_site_fract_x
_atom_site_fract_y
_atom_site_fract_z
Tb1 Tb 0.0000 0.0000 0.0000
Rh1 Rh 0.6667 0.3333 0.5000
Au1 Au 0.3333 0.6667 0.5000
# energy of formation from the pure elements = -0.59 eV/atom
# volume = 20.8 Å³ per atom
# ΔE to the lowest computed polymorph = 0.085 eV per atom
# ρ = 12.19 g/cm3

***

# Tb2RhAu, relaxed, DFT PBE-GGA
data_Tb2RhAu
_chemical_formula_sum 'Tb2 Rh1 Au1'
_cell_length_a 3.546
_cell_length_b 3.546
_cell_length_c 6.996
_cell_angle_alpha 90.00
_cell_angle_beta 90.00
_cell_angle_gamma 90.00
_symmetry_space_group_name_H-M 'P 4/m m m'
_symmetry_Int_Tables_number 123
_symmetry_space_group_name_Hall '-P 4 2'
loop_
_atom_site_label
_atom_site_type_symbol
_atom_site_fract_x
_atom_site_fract_y
_atom_site_fract_z
Tb1 Tb 0.000 0.000 0.237
Rh1 Rh 0.500 0.500 0.000
Au1 Au 0.500 0.500 0.500
# energy of formation from the pure elements = -0.84 eV/atom
# volume = 22.0 Å³ per atom
# ρ = 11.66 g/cm3

***

# Tb6Rh2Au, relaxed, DFT PBE-GGA
data_Tb6Rh2Au
_chemical_formula_sum 'Tb24 Rh8 Au4'
_cell_length_a 9.325
_cell_length_b 9.595
_cell_length_c 10.256
_cell_angle_alpha 90.00
_cell_angle_beta 90.00
_cell_angle_gamma 90.00
_symmetry_space_group_name_H-M 'I m m m'
_symmetry_Int_Tables_number 71
_symmetry_space_group_name_Hall '-I 2 2'
loop_
_atom_site_label
_atom_site_type_symbol
_atom_site_fract_x
_atom_site_fract_y
_atom_site_fract_z
Tb1 Tb 0.000 0.193 0.239
Tb2 Tb 0.195 0.500 0.169
Tb3 Tb 0.218 0.322 0.500
Rh1 Rh 0.000 0.336 0.000
Rh2 Rh 0.000 0.500 0.368
Au1 Au 0.000 0.000 0.000
Au2 Au 0.000 0.000 0.500
# energy of formation from the pure elements = -0.61 eV/atom
# volume = 25.5 Å³ per atom
# ρ = 9.82 g/cm3

***

# TbRhAu, relaxed, DFT PBE-GGA
data_TbRhAu
_chemical_formula_sum 'Tb4 Rh4 Au4'
_cell_length_a 10.034
_cell_length_b 4.704
_cell_length_c 5.593
_cell_angle_alpha 90.00
_cell_angle_beta 115.60
_cell_angle_gamma 90.00
_symmetry_space_group_name_H-M 'C 1 2/m 1'
_symmetry_Int_Tables_number 12
_symmetry_space_group_name_Hall '-C 2y'
loop_
_atom_site_label
_atom_site_type_symbol
_atom_site_fract_x
_atom_site_fract_y
_atom_site_fract_z
Tb1 Tb 0.193 0.000 0.175
Rh1 Rh 0.146 0.000 0.643
Au1 Au 0.025 0.500 0.270
# energy of formation from the pure elements = -0.62 eV/atom
# volume = 19.8 Å³ per atom
# ΔE to the lowest computed polymorph = 0.048 eV per atom
# ρ = 12.80 g/cm3

***

# Tb2Rh2Au, relaxed, DFT PBE-GGA
data_Tb2Rh2Au
_chemical_formula_sum 'Tb4 Rh4 Au2'
_cell_length_a 7.352
_cell_length_b 7.352
_cell_length_c 3.803
_cell_angle_alpha 90.00
_cell_angle_beta 90.00
_cell_angle_gamma 90.00
_symmetry_space_group_name_H-M 'P 4/m b m'
_symmetry_Int_Tables_number 127
_symmetry_space_group_name_Hall '-P 4 2ab'
loop_
_atom_site_label
_atom_site_type_symbol
_atom_site_fract_x
_atom_site_fract_y
_atom_site_fract_z
Tb1 Tb 0.172 0.328 0.000
Rh1 Rh 0.132 0.632 0.500
Au1 Au 0.000 0.000 0.500
# energy of formation from the pure elements = -0.81 eV/atom
# volume = 20.6 Å³ per atom
# ρ = 11.64 g/cm3

***

# Tb4RhAu, relaxed, DFT PBE-GGA
data_Tb4RhAu
_chemical_formula_sum 'Tb16 Rh4 Au4'
_cell_length_a 8.304
_cell_length_b 4.826
_cell_length_c 15.669
_cell_angle_alpha 90.00
_cell_angle_beta 90.00
_cell_angle_gamma 90.00
_symmetry_space_group_name_H-M 'P n m a'
_symmetry_Int_Tables_number 62
_symmetry_space_group_name_Hall '-P 2ac 2n'
loop_
_atom_site_label
_atom_site_type_symbol
_atom_site_fract_x
_atom_site_fract_y
_atom_site_fract_z
Tb1 Tb 0.035 0.250 0.078
Tb2 Tb 0.082 0.250 0.779
Tb3 Tb 0.130 0.250 0.337
Tb4 Tb 0.151 0.250 0.566
Rh1 Rh 0.193 0.750 0.687
Au1 Au 0.227 0.750 0.439
# energy of formation from the pure elements = -0.59 eV/atom
# volume = 26.2 Å³ per atom
# ΔE to the lowest computed polymorph = 0.000 eV per atom
# ρ = 9.90 g/cm3

***

# Tb4RhAu, relaxed, DFT PBE-GGA
data_Tb4RhAu
_chemical_formula_sum 'Tb8 Rh2 Au2'
_cell_length_a 7.081
_cell_length_b 6.969
_cell_length_c 6.946
_cell_angle_alpha 90.00
_cell_angle_beta 93.22
_cell_angle_gamma 90.00
_symmetry_space_group_name_H-M 'P 1 21/c 1'
_symmetry_Int_Tables_number 14
_symmetry_space_group_name_Hall '-P 2ybc'
loop_
_atom_site_label
_atom_site_type_symbol
_atom_site_fract_x
_atom_site_fract_y
_atom_site_fract_z
Tb1 Tb 0.157 0.163 0.181
Tb2 Tb 0.324 0.659 0.146
Rh1 Rh 0.000 0.000 0.500
Au1 Au 0.500 0.000 0.000
# energy of formation from the pure elements = -0.52 eV/atom
# volume = 28.5 Å³ per atom
# ΔE to the lowest computed polymorph = 0.069 eV per atom
# ρ = 9.08 g/cm3